No. 1
SCAN Cs2InGaCl6, single point on PBEsol structure; VASP energy = -18.93 eV/atom; formation energy from raw total energies = -1607 meV per atom; density of states at the Fermi level = 0.000 states/eV per atom
1.0
0.000 5.314 5.314
5.314 0.000 5.314
5.314 5.314 0.000
Cs In Ga Cl
2 1 1 6
direct
0.250 0.250 0.250
0.750 0.750 0.750
0.000 0.000 0.000
0.500 0.500 0.500
0.238 0.238 0.762
0.238 0.762 0.238
0.238 0.762 0.762
0.762 0.238 0.238
0.762 0.238 0.762
0.762 0.762 0.238

No. 2
SCAN Al2InAg, single point on PBEsol structure; VASP energy = -19.95 eV/atom; density of states at the Fermi level = 0.354 states/eV per atom; DFT formation energy = 113 meV per atom
1.0
4.175 0.000 0.000
0.000 4.175 0.000
0.000 0.000 4.209
Al In Ag
2 1 1
direct
0.000 0.500 0.000
0.500 0.000 0.000
0.000 0.000 0.500
0.500 0.500 0.500

No. 3
SCAN MoWAu2, single point on PBEsol structure; VASP energy = -60.44 eV/atom; density of states at the Fermi level = 0.435 states/eV per atom; DFT formation energy = 281 meV per atom; polymorph energy (0 for the lowest one) = 0 meV per atom
1.0
4.694 -1.349 0.000
4.694 1.349 0.000
-0.645 0.000 5.040
Mo W Au
1 1 2
direct
0.000 0.000 0.000
0.755 0.755 0.239
0.254 0.254 0.742
0.500 0.500 0.494

No. 4
SCAN LaCu2W, single point on PBEsol structure; VASP energy = -35.13 eV/atom; density of states at the Fermi level = 0.616 states/eV per atom; DFT formation energy = 671 meV per atom; polymorph energy (0 for the lowest one) = 0 meV per atom
1.0
4.223 0.000 0.000
0.000 4.223 0.000
0.000 0.000 3.807
La Cu W
1 2 1
direct
0.000 0.000 0.000
0.000 0.500 0.500
0.500 0.000 0.500
0.500 0.500 0.000